VASP calculation (GGA-PBE) on LaCd3I after structural relaxation.

a = 6.4181 Å, b = 6.4181 Å, c = 6.4181 Å
α = 90.00°, β = 90.00°, γ = 90.00°
With the nearest neighbours (Å) after each atom.
Atoms (fractional coordinates):
La (0.0000, 0.0000, 0.0000)  6 Cd 3.21
Cd (0.0000, 0.0000, 0.5000)  2 La 3.21
Cd (0.0000, 0.5000, 0.0000)  2 La 3.21
Cd (0.5000, 0.0000, 0.0000)  2 La 3.21
I (0.5000, 0.5000, 0.5000)  12 Cd 4.54

Computed properties:
Calculated total energy: -1.42 eV/atom
Calculated density: 3.79 g/cm³
Spin magnetization: 0.000 μB per atom
DOS at the Fermi energy: 5.8 states/eV/cell
Relative energy among the computed polymorphs: 0.000 eV/atom
Formation energy without anion corrections: 2.11 eV/f.u.